! Hf4AlSnC2, relaxed, DFT PBE; values from VASP
&SYSTEM
  ibrav = 0, nat = 8, ntyp = 4
/
ATOMIC_SPECIES
Al 26.98 Al.upf
C 12.01 C.upf
Hf 178.49 Hf.upf
Sn 118.71 Sn.upf
CELL_PARAMETERS angstrom
-0.9886 1.6939 -2.6646
2.5596 -2.0849 -0.2208
-9.0197 -10.7069 -3.4600
ATOMIC_POSITIONS angstrom
Al 0.0000 0.0000 0.0000
C -0.8571 -3.4771 -1.8924
C -5.4089 -8.8804 -3.6385
Hf -1.2600 -1.2918 -2.4079
Hf -2.9983 -3.5591 -1.1502
Hf -6.0214 -7.1478 -2.3099
Hf -7.3714 -8.5465 -4.7523
Sn -4.3157 -4.9191 -3.5801
! theoretical density: 10733 kg/m³
! total magnetization: 0.01 Bohr magnetons per cell
! E: -71.9 eV per formula unit
! space-group type: P-6m2 (187)